1.
The following is a DFT calculation (GGA-PBE) of an optimized crystal structure of Li2TaTcO6.

Cell lengths 5.612, 5.612, 3.888 Å; angles 90.00, 90.00, 90.00 degrees
Positions (direct):
Li1 0.000 0.500 0.000
Li2 0.500 0.000 0.000
Ta1 0.000 0.000 0.796
Tc1 0.500 0.500 0.816
O1 0.000 0.000 0.311
O2 0.251 0.251 0.832
O3 0.251 0.749 0.832
O4 0.500 0.500 0.326
O5 0.749 0.251 0.832
O6 0.749 0.749 0.832

Electronic total energy   -76.3 eV for the cell shown
Crystal system   tetragonal



2.
The following is a DFT calculation (GGA-PBE) of an optimized crystal structure of Na5SbAs6.

Cell lengths 8.877, 8.877, 6.030 Å; angles 100.46, 100.46, 131.52 degrees
Positions (direct):
Na1 0.000 0.000 0.000
Na2 0.181 0.819 0.500
Na3 0.387 0.613 0.000
Na4 0.613 0.387 0.000
Na5 0.819 0.181 0.500
Sb1 0.500 0.500 0.500
As1 0.017 0.616 0.885
As2 0.185 0.185 0.621
As3 0.384 0.983 0.115
As4 0.616 0.017 0.885
As5 0.815 0.815 0.379
As6 0.983 0.384 0.115

Electronic total energy   -41.3 eV for the cell shown
Crystal system   monoclinic



3.
The following is a DFT calculation (GGA-PBE) of an optimized crystal structure of MgPa2Ga6.

Cell lengths 8.018, 8.018, 3.163 Å; angles 90.00, 90.00, 120.00 degrees
Positions (direct):
Mg1 0.000 0.000 0.000
Pa1 0.333 0.667 0.000
Pa2 0.667 0.333 0.000
Ga1 0.000 0.329 0.500
Ga2 0.000 0.671 0.500
Ga3 0.329 0.000 0.500
Ga4 0.329 0.329 0.500
Ga5 0.671 0.000 0.500
Ga6 0.671 0.671 0.500

ΔH_f (0 K)   -235 kJ/mol of formula units
Electronic total energy   -41.2 eV for the cell shown
Crystal system   hexagonal



4.
The following is a DFT calculation (GGA-PBE) of an optimized crystal structure of RbCd2Hg2.

Cell lengths 4.716, 4.716, 8.512 Å; angles 100.65, 100.65, 64.88 degrees
Positions (direct):
Rb1 0.000 0.000 0.000
Cd1 0.195 0.195 0.578
Cd2 0.805 0.805 0.422
Hg1 0.415 0.415 0.283
Hg2 0.585 0.585 0.717

ΔH_f (0 K)   -45 kJ/mol of formula units
Electronic total energy   -3.9 eV for the cell shown
Crystal system   monoclinic